Compound: Hg3MoO
Source: Alexandria
Functional: PBE with a Hubbard U
Structure: relaxed

Geometry as POSCAR:
```
Hg3MoO
1.0
5.756 0.000 0.000
0.000 5.756 0.000
0.000 0.000 5.756
Hg Mo O
3 1 1
direct
0.000 0.000 0.500
0.000 0.500 0.000
0.500 0.000 0.000
0.000 0.000 0.000
0.500 0.500 0.500
```

Properties
- Theoretical density: 6.22 Mg/m³
- Total magnetization: 0.727 μB per atom
- E: -0.060 hartree per atom
- Energy above the most stable polymorph in this dataset: 29.1 kJ per mole of atoms